This record from Alexandria via LeMat-Bulk describes Sb2MoAuI after structural relaxation. The functional is PBEsol.

a = 5.2759 Å, b = 5.2759 Å, c = 5.4473 Å
α = 90.00°, β = 90.00°, γ = 90.00°
Atoms (fractional coordinates):
Sb  0.0000  0.5000  0.0000
Sb  0.5000  0.0000  0.0000
Mo  0.0000  0.0000  0.5000
Au  0.5000  0.5000  0.0000
I  0.5000  0.5000  0.5000

Output
D(E_F)   3.61 states/eV/f.u.
Volume   30.33 A^3/atom
Uncorrected formation energy   1331 meV per atom

This record from Alexandria via LeMat-Bulk describes Ti5Nb2O14 after structural relaxation. The functional is PBEsol.

a = 4.6802 Å, b = 4.6802 Å, c = 20.8307 Å
α = 90.00°, β = 90.00°, γ = 90.52°
Atoms (fractional coordinates):
Ti  0.0000  0.0000  0.0000
Ti  0.0000  0.0000  0.1457
Ti  0.0000  0.0000  0.2849
Ti  0.0000  0.0000  0.4304
Ti  0.0000  0.0000  0.5696
Ti  0.0000  0.0000  0.7151
Ti  0.0000  0.0000  0.8543
Ti  0.5000  0.5000  0.2152
Ti  0.5000  0.5000  0.5000
Ti  0.5000  0.5000  0.7848
Nb  0.5000  0.5000  0.0735
Nb  0.5000  0.5000  0.3575
Nb  0.5000  0.5000  0.6425
Nb  0.5000  0.5000  0.9265
O  0.1932  0.1932  0.3574
O  0.1932  0.1932  0.6426
O  0.1936  0.1936  0.0716
O  0.1936  0.1936  0.9284
O  0.1959  0.1959  0.2147
O  0.1959  0.1959  0.5000
O  0.1959  0.1959  0.7853
O  0.2967  0.7033  0.0000
O  0.2998  0.7002  0.1448
O  0.3004  0.6996  0.2850
O  0.3004  0.6996  0.7150
O  0.2998  0.7002  0.8552
O  0.3006  0.6994  0.4299
O  0.3006  0.6994  0.5701
O  0.6994  0.3006  0.4299
O  0.6994  0.3006  0.5701
O  0.7002  0.2998  0.1448
O  0.6996  0.3004  0.2850
O  0.6996  0.3004  0.7150
O  0.7002  0.2998  0.8552
O  0.7033  0.2967  0.0000
O  0.8041  0.8041  0.2147
O  0.8041  0.8041  0.5000
O  0.8041  0.8041  0.7853
O  0.8064  0.8064  0.0716
O  0.8064  0.8064  0.9284
O  0.8068  0.8068  0.3574
O  0.8068  0.8068  0.6426

Output
D(E_F)   9.95 states/eV/f.u.
Volume   10.86 A^3/atom
Uncorrected formation energy   -2870 meV per atom

This record from Alexandria via LeMat-Bulk describes CsAl2Ir after structural relaxation. The functional is PBEsol.

a = 4.8724 Å, b = 4.8724 Å, c = 4.8724 Å
α = 60.00°, β = 60.00°, γ = 60.00°
Atoms (fractional coordinates):
Cs  0.0000  0.0000  0.0000
Al  0.2500  0.2500  0.2500
Al  0.7500  0.7500  0.7500
Ir  0.5000  0.5000  0.5000

Output
D(E_F)   3.73 states/eV/f.u.
Volume   20.45 A^3/atom
Final energy   -3.92 eV/atom

This record from Alexandria via LeMat-Bulk describes POsBr2 after structural relaxation. The functional is PBEsol.

a = 4.5748 Å, b = 4.5748 Å, c = 4.5748 Å
α = 60.00°, β = 60.00°, γ = 60.00°
Atoms (fractional coordinates):
P  0.0000  0.0000  0.0000
Os  0.5000  0.5000  0.5000
Br  0.2500  0.2500  0.2500
Br  0.7500  0.7500  0.7500

Output
D(E_F)   4.29 states/eV/f.u.
Volume   16.93 A^3/atom
Uncorrected formation energy   1394 meV per atom

This record from Alexandria via LeMat-Bulk describes TlTe2Pb after structural relaxation. The functional is PBEsol.

a = 8.0258 Å, b = 8.0258 Å, c = 8.0258 Å
α = 150.05°, β = 149.85°, γ = 43.02°
Atoms (fractional coordinates):
Tl  0.0000  0.0000  0.0000
Te  0.5843  0.5843  0.0000
Te  0.8332  0.3332  0.5000
Pb  0.2469  0.7469  0.5000

Output
D(E_F)   1.43 states/eV/f.u.
Volume   32.32 A^3/atom
Uncorrected formation energy   -166 meV per atom

This record from Alexandria via LeMat-Bulk describes SrLiNi after structural relaxation. The functional is PBEsol.

a = 4.2951 Å, b = 4.2951 Å, c = 4.1343 Å
α = 90.00°, β = 90.00°, γ = 120.00°
Atoms (fractional coordinates):
Sr  0.0000  0.0000  0.0000
Li  0.3333  0.6667  0.5005
Ni  0.6667  0.3333  0.4986

Output
D(E_F)   1.74 states/eV/f.u.
Volume   22.02 A^3/atom
Final energy   -3.13 eV/atom

This record from Alexandria via LeMat-Bulk describes AlF3 after structural relaxation. The functional is PBEsol.

a = 3.6073 Å, b = 5.2784 Å, c = 5.8782 Å
α = 63.39°, β = 89.95°, γ = 89.91°
Atoms (fractional coordinates):
Al  0.0000  0.1347  0.2310
Al  0.0000  0.8653  0.7690
F  0.0000  0.0000  0.0000
F  0.0000  0.5000  0.0000
F  0.0006  0.7793  0.4996
F  0.5000  0.1389  0.2232
F  0.5000  0.8611  0.7768
F  0.9994  0.2207  0.5004

Output
D(E_F)   0.00 states/eV/f.u.
Volume   12.51 A^3/atom
Uncorrected formation energy   -3548 meV per atom

This record from Alexandria via LeMat-Bulk describes K2LaSi after structural relaxation. The functional is PBEsol.

a = 6.9510 Å, b = 6.9510 Å, c = 6.9510 Å
α = 141.49°, β = 141.49°, γ = 55.60°
Atoms (fractional coordinates):
K  0.2500  0.7500  0.5000
K  0.7500  0.2500  0.5000
La  0.0000  0.0000  0.0000
Si  0.5000  0.5000  0.0000

Output
D(E_F)   1.38 states/eV/f.u.
Volume   32.31 A^3/atom
Uncorrected formation energy   213 meV per atom

This record from Alexandria via LeMat-Bulk describes As2Pt after structural relaxation. The functional is PBEsol.

a = 11.7377 Å, b = 11.7377 Å, c = 11.7377 Å
α = 164.94°, β = 164.94°, γ = 21.36°
Atoms (fractional coordinates):
As  0.3063  0.5563  0.7500
As  0.4437  0.6937  0.7500
As  0.5563  0.3063  0.2500
As  0.6937  0.4437  0.2500
Pt  0.1250  0.8750  0.2500
Pt  0.8750  0.1250  0.7500

Output
D(E_F)   1.46 states/eV/f.u.
Volume   18.19 A^3/atom
Final energy   -5.71 eV/atom

This record from Alexandria via LeMat-Bulk describes Sc2BeZn after structural relaxation. The functional is PBEsol.

a = 3.2103 Å, b = 3.2103 Å, c = 6.4819 Å
α = 90.00°, β = 90.00°, γ = 90.00°
Atoms (fractional coordinates):
Sc  0.0000  0.0000  0.2342
Sc  0.0000  0.0000  0.7658
Be  0.5000  0.5000  0.0000
Zn  0.5000  0.5000  0.5000

Output
D(E_F)   3.63 states/eV/f.u.
Volume   16.70 A^3/atom
Final energy   -4.91 eV/atom

This record from Alexandria via LeMat-Bulk describes LiTaRh2 after structural relaxation. The functional is PBEsol.

a = 3.1226 Å, b = 3.1226 Å, c = 5.7582 Å
α = 90.00°, β = 90.00°, γ = 90.00°
Atoms (fractional coordinates):
Li  0.0000  0.0000  0.0000
Ta  0.0000  0.0000  0.5000
Rh  0.5000  0.5000  0.2450
Rh  0.5000  0.5000  0.7550

Output
D(E_F)   0.96 states/eV/f.u.
Volume   14.04 A^3/atom
Final energy   -8.17 eV/atom

This record from Alexandria via LeMat-Bulk describes Mg2SeCl after structural relaxation. The functional is PBEsol.

a = 3.4242 Å, b = 3.4242 Å, c = 6.8818 Å
α = 90.00°, β = 90.00°, γ = 90.00°
Atoms (fractional coordinates):
Mg  0.0000  0.0000  0.2210
Mg  0.0000  0.0000  0.7790
Se  0.5000  0.5000  0.0000
Cl  0.5000  0.5000  0.5000

Output
D(E_F)   1.21 states/eV/f.u.
Volume   20.17 A^3/atom
Uncorrected formation energy   -790 meV per atom

This record from Alexandria via LeMat-Bulk describes LiCoAg2 after structural relaxation. The functional is PBEsol.

a = 2.6912 Å, b = 3.7645 Å, c = 5.6254 Å
α = 90.00°, β = 90.00°, γ = 90.00°
Atoms (fractional coordinates):
Li  0.0000  0.0000  0.0000
Co  0.0000  0.0000  0.5000
Ag  0.5000  0.5000  0.2546
Ag  0.5000  0.5000  0.7454

Output
D(E_F)   3.65 states/eV/f.u.
Volume   14.25 A^3/atom
Final energy   -3.89 eV/atom

This record from Alexandria via LeMat-Bulk describes ScNbCd3 after structural relaxation. The functional is PBEsol.

a = 5.1062 Å, b = 5.1062 Å, c = 5.1062 Å
α = 90.00°, β = 90.00°, γ = 90.00°
Atoms (fractional coordinates):
Sc  0.0000  0.0000  0.0000
Nb  0.5000  0.5000  0.5000
Cd  0.0000  0.0000  0.5000
Cd  0.0000  0.5000  0.0000
Cd  0.5000  0.0000  0.0000

Output
D(E_F)   9.09 states/eV/f.u.
Volume   26.63 A^3/atom
Final energy   -2.76 eV/atom